Here is a PBEsol-optimized structure of TlSeS2N from Alexandria via LeMat-Bulk. Energies are from SCAN.

It has space group P4/mmm (No. 123), with a = 4.9625 Å, b = 4.9625 Å, c = 3.7440 Å, α = 90.00°, β = 90.00° and γ = 90.00°. Symmetry generates all atoms from Tl at (0.0000, 0.0000, 0.0000), Se at (0.5000, 0.5000, 0.5000), S at (0.0000, 0.5000, 0.5000) and N at (0.5000, 0.5000, 0.0000).

As for the mass density: 6.510 g/cm³. As for the formation energy without anion corrections: 837 meV per atom.